Entry 1:
ZnNi3Hg: relaxed, PBE.

Unit cell a=4.729 b=4.729 c=4.729 alpha=90.00 beta=90.00 gamma=90.00
Element x y z (fractional)
Zn  0.000  0.000  0.000
Ni  0.000  0.500  0.500
Ni  0.500  0.000  0.500
Ni  0.500  0.500  0.000
Hg  0.500  0.500  0.500

Crystal system: cubic



Entry 2:
Rb2AgHgF6: relaxed, PBE.

Unit cell a=6.399 b=9.079 c=6.399 alpha=90.00 beta=90.00 gamma=90.00
Element x y z (fractional)
Rb  0.250  0.000  0.250
Rb  0.250  0.500  0.250
Rb  0.750  0.000  0.750
Rb  0.750  0.500  0.750
Ag  0.250  0.250  0.750
Ag  0.750  0.750  0.250
Hg  0.250  0.750  0.750
Hg  0.750  0.250  0.250
F  0.002  0.250  0.502
F  0.002  0.250  0.997
F  0.250  0.001  0.750
F  0.250  0.499  0.750
F  0.498  0.250  0.502
F  0.498  0.250  0.997
F  0.502  0.750  0.003
F  0.502  0.750  0.498
F  0.750  0.501  0.250
F  0.750  0.999  0.250
F  0.998  0.750  0.003
F  0.998  0.750  0.498

Crystal system: orthorhombic
Formation energy from raw total energies (meV/atom): -1910



no.,calculated total energy (Ry/atom)
1,-0.1813
2,-0.2603